[1]
Computed, not measured: crystalline TeRuW2 at its relaxed geometry at the GGA-PBE level of DFT.

Values from the calculation:
E_form (uncorrected) = 553 meV per atom
Volume = 16.77 Å³/atom

```
TeRuW2
1.0
-1.6007 2.2544 4.6479
1.6007 -2.2544 4.6479
1.6007 2.2544 -4.6479
Te Ru W
1 1 2
direct
0.0000 0.0000 0.0000 Te
0.5000 0.5000 0.0000 Ru
0.2381 0.7381 0.5000 W
0.7619 0.2619 0.5000 W
```



[2]
Computed, not measured: crystalline PuSc3Te6 at its relaxed geometry at the GGA-PBE level of DFT.

Values from the calculation:
E_form (uncorrected) = -1138 meV per atom
Volume = 29.47 Å³/atom

```
PuSc3Te6
1.0
12.0812 0.0000 0.0000
0.0000 4.2023 0.0000
-4.0812 0.0000 11.6104
Pu Sc Te
2 6 12
direct
0.0485 0.2500 0.1975 Pu
0.9515 0.7500 0.8025 Pu
0.1532 0.2500 0.5811 Sc
0.3187 0.7500 0.9975 Sc
0.4372 0.2500 0.3403 Sc
0.5628 0.7500 0.6597 Sc
0.6813 0.2500 0.0025 Sc
0.8468 0.7500 0.4189 Sc
0.0839 0.7500 0.4057 Te
0.1220 0.2500 0.9659 Te
0.2016 0.7500 0.7481 Te
0.2646 0.7500 0.2257 Te
0.3900 0.2500 0.5616 Te
0.4795 0.2500 0.1180 Te
0.5205 0.7500 0.8820 Te
0.6100 0.7500 0.4384 Te
0.7354 0.2500 0.7743 Te
0.7984 0.2500 0.2519 Te
0.8780 0.7500 0.0341 Te
0.9161 0.2500 0.5943 Te
```



[3]
Computed, not measured: crystalline PaRhSe2 at its relaxed geometry at the GGA-PBE level of DFT.

Values from the calculation:
E_form (uncorrected) = -157 meV per atom
Volume = 23.24 Å³/atom

```
PaRhSe2
1.0
1.7710 1.0225 8.5546
-1.7710 1.0225 8.5546
0.0000 -2.0449 8.5546
Pa Rh Se
1 1 2
direct
0.0000 0.0000 0.0000 Pa
0.5000 0.5000 0.5000 Rh
0.1107 0.1107 0.1107 Se
0.8893 0.8893 0.8893 Se
```